# ZrWS2Cl PBE relaxed
# Spin magnetization ... 2.63 μB per cell
# Formation energy from raw total energies ... 0.211 eV/atom
# Energy above the most stable polymorph in this dataset ... 0.000 eV/atom
# Electronic total energy ... -6.109 eV per atom
data_ZrWS2Cl
_cell_length_a 4.667
_cell_length_b 4.667
_cell_length_c 4.807
_cell_angle_alpha 90.00
_cell_angle_beta 90.00
_cell_angle_gamma 90.00
_space_group_name_H-M_alt 'P 1'
_space_group_IT_number 1
loop_
_space_group_symop_operation_xyz
'x,y,z'
loop_
_atom_site_label
_atom_site_fract_x
_atom_site_fract_y
_atom_site_fract_z
Zr1 0.000 0.000 0.000
W1 0.500 0.500 0.500
S1 0.000 0.500 0.500
S2 0.500 0.000 0.500
Cl1 0.500 0.500 0.000

***

# CaGdFe4 PBE relaxed
# Spin magnetization ... 14.99 μB per cell
# Formation energy from the elements ... 0.16 eV/atom
# Electronic total energy ... -8.162 eV per atom
data_CaGdFe4
_cell_length_a 5.172
_cell_length_b 5.172
_cell_length_c 5.172
_cell_angle_alpha 60.00
_cell_angle_beta 60.00
_cell_angle_gamma 60.00
_space_group_name_H-M_alt 'P 1'
_space_group_IT_number 1
loop_
_space_group_symop_operation_xyz
'x,y,z'
loop_
_atom_site_label
_atom_site_fract_x
_atom_site_fract_y
_atom_site_fract_z
Ca1 0.000 0.000 0.000
Gd1 0.250 0.250 0.250
Fe1 0.128 0.624 0.624
Fe2 0.624 0.128 0.624
Fe3 0.624 0.624 0.128
Fe4 0.624 0.624 0.624

***

# RbScGe PBE relaxed
# Spin magnetization ... 0.96 μB per cell
# Formation energy from the elements ... -0.22 eV/atom
# Energy above the most stable polymorph in this dataset ... 0.141 eV/atom
# Electronic total energy ... -4.191 eV per atom
data_RbScGe
_cell_length_a 4.174
_cell_length_b 5.123
_cell_length_c 12.208
_cell_angle_alpha 90.95
_cell_angle_beta 98.41
_cell_angle_gamma 114.01
_space_group_name_H-M_alt 'P 1'
_space_group_IT_number 1
loop_
_space_group_symop_operation_xyz
'x,y,z'
loop_
_atom_site_label
_atom_site_fract_x
_atom_site_fract_y
_atom_site_fract_z
Rb1 0.000 0.227 0.320
Rb2 0.000 0.773 0.680
Sc1 0.168 0.782 0.064
Sc2 0.832 0.218 0.936
Ge1 0.485 0.388 0.095
Ge2 0.515 0.612 0.905

***

| no. | DOS(E_F) (states/eV per atom) |
| --- | --- |
| 1 | 1.186 |
| 2 | 1.522 |
| 3 | 0.674 |